P) Below is a geometry-optimized Zr2TaBr structure, with properties calculated at the PBE level.

```
data_Zr2TaBr
_symmetry_space_group_name_H-M 'I -4 2 d'
_symmetry_Int_Tables_number 122
_symmetry_space_group_name_Hall 'I -4 2bw'
_cell_length_a 4.232
_cell_length_b 4.232
_cell_length_c 19.811
_cell_angle_alpha 90.00
_cell_angle_beta 90.00
_cell_angle_gamma 90.00
loop_
_atom_site_label
_atom_site_type_symbol
_atom_site_fract_x
_atom_site_fract_y
_atom_site_fract_z
Zr1 Zr 0.249 0.250 0.125
Ta1 Ta 0.000 0.000 0.500
Br1 Br 0.000 0.000 0.000
```

Summary:
For the total magnetic moment, the calculation gives 0.00 μB per formula unit.


Q) Below is a geometry-optimized Zr2TaBr structure, with properties calculated at the PBE level.

```
data_Zr2TaBr
_symmetry_space_group_name_H-M 'C 1 2/m 1'
_symmetry_Int_Tables_number 12
_symmetry_space_group_name_Hall '-C 2y'
_cell_length_a 6.366
_cell_length_b 7.996
_cell_length_c 3.284
_cell_angle_alpha 90.00
_cell_angle_beta 96.55
_cell_angle_gamma 90.00
loop_
_atom_site_label
_atom_site_type_symbol
_atom_site_fract_x
_atom_site_fract_y
_atom_site_fract_z
Zr1 Zr 0.250 0.250 0.000
Ta1 Ta 0.000 0.000 0.500
Br1 Br 0.000 0.500 0.500
```

Summary:
For the total magnetic moment, the calculation gives 0.00 μB per formula unit.


R) Below is a geometry-optimized Zr2TaBr structure, with properties calculated at the PBE level.

```
data_Zr2TaBr
_symmetry_space_group_name_H-M 'P 1 2/m 1'
_symmetry_Int_Tables_number 10
_symmetry_space_group_name_Hall '-P 2y'
_cell_length_a 3.501
_cell_length_b 3.274
_cell_length_c 8.256
_cell_angle_alpha 90.00
_cell_angle_beta 90.09
_cell_angle_gamma 90.00
loop_
_atom_site_label
_atom_site_type_symbol
_atom_site_fract_x
_atom_site_fract_y
_atom_site_fract_z
Zr1 Zr 0.001 0.000 0.207
Ta1 Ta 0.500 0.500 0.000
Br1 Br 0.000 0.500 0.500
```

Summary:
For the total magnetic moment, the calculation gives 0.00 μB per formula unit.


Name the most stable of them. R).


P) Below is a geometry-optimized Zr2TaBr structure, with properties calculated at the PBE level.

```
data_Zr2TaBr
_symmetry_space_group_name_H-M 'C m m m'
_symmetry_Int_Tables_number 65
_symmetry_space_group_name_Hall '-C 2 2'
_cell_length_a 3.697
_cell_length_b 5.151
_cell_length_c 8.992
_cell_angle_alpha 90.00
_cell_angle_beta 90.00
_cell_angle_gamma 90.00
loop_
_atom_site_label
_atom_site_type_symbol
_atom_site_fract_x
_atom_site_fract_y
_atom_site_fract_z
Zr1 Zr 0.000 0.000 0.242
Ta1 Ta 0.000 0.500 0.000
Br1 Br 0.000 0.500 0.500
```

Summary:
For the total magnetic moment, the calculation gives 0.00 μB per formula unit.


Q) Below is a geometry-optimized Zr2TaBr structure, with properties calculated at the PBE level.

```
data_Zr2TaBr
_symmetry_space_group_name_H-M 'I m m m'
_symmetry_Int_Tables_number 71
_symmetry_space_group_name_Hall '-I 2 2'
_cell_length_a 3.286
_cell_length_b 5.539
_cell_length_c 9.432
_cell_angle_alpha 90.00
_cell_angle_beta 90.00
_cell_angle_gamma 90.00
loop_
_atom_site_label
_atom_site_type_symbol
_atom_site_fract_x
_atom_site_fract_y
_atom_site_fract_z
Zr1 Zr 0.000 0.000 0.238
Ta1 Ta 0.000 0.500 0.000
Br1 Br 0.000 0.500 0.500
```

Summary:
For the total magnetic moment, the calculation gives 0.00 μB per formula unit.


Name the most stable of them. P).


P) Below is a geometry-optimized Zr2TaBr structure, with properties calculated at the PBE level.

```
data_Zr2TaBr
_symmetry_space_group_name_H-M 'F m -3 m'
_symmetry_Int_Tables_number 225
_symmetry_space_group_name_Hall '-F 4 2 3'
_cell_length_a 6.943
_cell_length_b 6.943
_cell_length_c 6.943
_cell_angle_alpha 90.00
_cell_angle_beta 90.00
_cell_angle_gamma 90.00
loop_
_atom_site_label
_atom_site_type_symbol
_atom_site_fract_x
_atom_site_fract_y
_atom_site_fract_z
Zr1 Zr 0.250 0.250 0.250
Ta1 Ta 0.000 0.000 0.000
Br1 Br 0.000 0.000 0.500
```

Summary:
For the total magnetic moment, the calculation gives 0.00 μB per formula unit.


Q) Below is a geometry-optimized Zr2TaBr structure, with properties calculated at the PBE level.

```
data_Zr2TaBr
_symmetry_space_group_name_H-M 'C 1 m 1'
_symmetry_Int_Tables_number 8
_symmetry_space_group_name_Hall 'C -2y'
_cell_length_a 10.667
_cell_length_b 3.150
_cell_length_c 5.326
_cell_angle_alpha 90.00
_cell_angle_beta 106.43
_cell_angle_gamma 90.00
loop_
_atom_site_label
_atom_site_type_symbol
_atom_site_fract_x
_atom_site_fract_y
_atom_site_fract_z
Zr1 Zr 0.000 0.000 0.000
Zr2 Zr 0.213 0.000 0.654
Ta1 Ta 0.242 0.500 0.146
Br1 Br 0.450 0.000 0.526
```

Summary:
For the total magnetic moment, the calculation gives 0.00 μB per formula unit.


R) Below is a geometry-optimized Zr2TaBr structure, with properties calculated at the PBE level.

```
data_Zr2TaBr
_symmetry_space_group_name_H-M 'R -3 m'
_symmetry_Int_Tables_number 166
_symmetry_space_group_name_Hall '-R 3 2"'
_cell_length_a 3.3777
_cell_length_b 3.3777
_cell_length_c 26.6211
_cell_angle_alpha 90.00
_cell_angle_beta 90.00
_cell_angle_gamma 120.00
loop_
_atom_site_label
_atom_site_type_symbol
_atom_site_fract_x
_atom_site_fract_y
_atom_site_fract_z
Zr1 Zr 0.0000 0.0000 0.2468
Ta1 Ta 0.0000 0.0000 0.5000
Br1 Br 0.0000 0.0000 0.0000
```

Summary:
For the total magnetic moment, the calculation gives 0.00 μB per formula unit.


S) Below is a geometry-optimized Zr2TaBr structure, with properties calculated at the PBE level.

```
data_Zr2TaBr
_symmetry_space_group_name_H-M 'R 3 m'
_symmetry_Int_Tables_number 160
_symmetry_space_group_name_Hall 'R 3 -2"'
_cell_length_a 3.2637
_cell_length_b 3.2637
_cell_length_c 31.0328
_cell_angle_alpha 90.00
_cell_angle_beta 90.00
_cell_angle_gamma 120.00
loop_
_atom_site_label
_atom_site_type_symbol
_atom_site_fract_x
_atom_site_fract_y
_atom_site_fract_z
Zr1 Zr 0.0000 0.0000 0.0000
Zr2 Zr 0.0000 0.0000 0.2502
Ta1 Ta 0.0000 0.0000 0.7391
Br1 Br 0.0000 0.0000 0.5191
```

Summary:
For the total magnetic moment, the calculation gives 0.37 μB per formula unit.


Name the most stable of them. R).